1.
Below is a geometry-optimized In2PbBr4 structure, with properties calculated at the PBE level.

```
In2PbBr4
1.0
-2.6442 -5.0388 -1.0414
5.0999 -2.4115 -1.2814
2.3756 -6.2559 8.1697
In Pb Br
2 1 4
Direct
0.1719 0.1719 0.6562
0.8281 0.8281 0.3438
0.0000 0.0000 0.0000
0.0000 0.5000 0.0000
0.3089 0.3089 0.3822
0.5000 0.0000 0.0000
0.6911 0.6911 0.6178
```

- space group = I4/mmm
- density (g/cm3) = 3.86
- energy relative to the elements, uncorrected (meV/atom) = -564
- M_tot (μB/f.u.) = 0.000
- energy relative to the lowest polymorph listed for this composition (meV/atom) = 191.6

=====

2.
Below is a geometry-optimized PrInPbBr6 structure, with properties calculated at the PBE level.

```
PrInPbBr6
1.0
7.7449 0.0000 0.0000
-3.8724 6.7072 0.0000
0.0000 0.0000 14.1763
Pr Br In Pb
2 12 2 2
Direct
0.6667 0.3333 0.2500
0.3333 0.6667 0.7500
0.6441 0.0118 0.3687
0.6441 0.6323 0.1313
0.3677 0.3559 0.3687
0.9882 0.3559 0.1313
0.0118 0.6441 0.8687
0.3559 0.9882 0.6313
0.9882 0.6323 0.3687
0.6323 0.9882 0.8687
0.3677 0.0118 0.1313
0.0118 0.3677 0.6313
0.6323 0.6441 0.6313
0.3559 0.3677 0.8687
0.0000 0.0000 0.5000
0.0000 0.0000 0.0000
0.6667 0.3333 0.7500
0.3333 0.6667 0.2500
```

- space group = P-31c
- density (g/cm3) = 4.25
- energy relative to the elements, uncorrected (meV/atom) = -1295
- M_tot (μB/f.u.) = 0.000

=====

3.
Below is a geometry-optimized In2PtPbBr structure, with properties calculated at the PBE level.

```
In2PtPbBr
1.0
-3.4416 3.6119 1.6265
-2.1466 0.1104 -4.7871
-3.4889 -3.9875 1.4725
Pt Pb Br In
1 1 1 2
Direct
0.0000 0.0000 0.0000
0.0000 0.0000 0.5000
0.5000 0.5000 0.5000
0.5000 0.0000 0.0000
0.0000 0.5000 0.0000
```

- space group = P4/mmm
- density (g/cm3) = 7.81
- energy relative to the elements, uncorrected (meV/atom) = -364
- M_tot (μB/f.u.) = 0.000

=====

4.
Below is a geometry-optimized Rb2InPbBr5 structure, with properties calculated at the PBE level.

```
Rb2InPbBr5
1.0
4.6534 0.0000 0.0000
-2.3267 10.0287 0.0000
0.0000 0.0000 15.9710
Rb Pb Br In
4 2 10 2
Direct
0.0783 0.1565 0.6490
0.8671 0.7342 0.7955
0.1329 0.2658 0.2955
0.9217 0.8435 0.1490
0.2351 0.4701 0.0328
0.7649 0.5299 0.5328
0.4955 0.9910 0.7640
0.6171 0.2341 0.4883
0.2515 0.5030 0.6634
0.0884 0.1767 0.0756
0.2877 0.5753 0.4078
0.7123 0.4247 0.9078
0.3829 0.7659 0.9883
0.7485 0.4970 0.1634
0.5045 0.0090 0.2640
0.9116 0.8233 0.5756
0.4518 0.9035 0.4475
0.5482 0.0965 0.9475
```

- space group = Cmc2_1
- density (g/cm3) = 3.98
- energy relative to the elements, uncorrected (meV/atom) = -1215
- M_tot (μB/f.u.) = 0.000

=====

5.
Below is a geometry-optimized RbInPbBr6 structure, with properties calculated at the PBE level.

```
RbInPbBr6
1.0
7.6006 0.0000 0.0000
-3.8003 6.5823 0.0000
0.0000 0.0000 14.7504
Br Rb Pb In
12 2 2 2
Direct
0.3553 0.9669 0.6406
0.3553 0.3883 0.8594
0.6447 0.0331 0.3594
0.6117 0.6447 0.6406
0.6447 0.6117 0.1406
0.3883 0.3553 0.3594
0.3883 0.0331 0.1406
0.0331 0.3883 0.6406
0.6117 0.9669 0.8594
0.9669 0.3553 0.1406
0.9669 0.6117 0.3594
0.0331 0.6447 0.8594
0.0000 0.0000 0.0000
0.0000 0.0000 0.5000
0.6667 0.3333 0.7500
0.3333 0.6667 0.2500
0.3333 0.6667 0.7500
0.6667 0.3333 0.2500
```

- space group = P-31c
- density (g/cm3) = 3.99
- energy relative to the elements, uncorrected (meV/atom) = -1073
- M_tot (μB/f.u.) = 0.000

=====

6.
Below is a geometry-optimized RbIn2PbBr8 structure, with properties calculated at the PBE level.

```
RbIn2PbBr8
1.0
7.1742 0.0000 0.0000
3.5871 6.2131 0.0000
3.5871 2.0710 10.8541
Br In Rb Pb
8 2 1 1
Direct
0.2177 0.8813 0.3164
0.5846 0.2177 0.3164
0.7823 0.4154 0.6836
0.3328 0.3328 0.0017
0.1187 0.7823 0.6836
0.6672 0.6672 0.9983
0.4154 0.1187 0.6836
0.8813 0.5846 0.3164
0.2532 0.2532 0.2403
0.7468 0.7468 0.7597
0.0000 0.0000 0.0000
0.5000 0.5000 0.5000
```

- space group = R32
- density (g/cm3) = 3.99
- energy relative to the elements, uncorrected (meV/atom) = -887
- M_tot (μB/f.u.) = 0.000

=====

7.
Below is a geometry-optimized RbInPbBr4 structure, with properties calculated at the PBE level.

```
RbInPbBr4
1.0
5.9593 0.0000 0.0000
0.0000 5.9593 0.0000
-2.9796 -2.9796 8.5472
Br Pb In Rb
4 1 1 1
Direct
0.5072 0.0072 0.0145
0.0072 0.5072 0.0145
0.1833 0.1833 0.3667
0.8268 0.8268 0.6535
0.9954 0.9954 0.9908
0.3499 0.3499 0.6997
0.6301 0.6301 0.2603
```

- space group = I4mm
- density (g/cm3) = 3.98
- energy relative to the elements, uncorrected (meV/atom) = -1039
- M_tot (μB/f.u.) = 0.000

=====

8.
Below is a geometry-optimized In2RhPbBr structure, with properties calculated at the PBE level.

```
In2RhPbBr
1.0
-5.0860 0.0123 1.2013
-1.1178 -1.9635 -4.7123
0.4419 -4.8613 1.9207
Br Pb Rh In
1 1 1 2
Direct
0.5000 0.5000 0.5000
0.0000 0.0000 0.5000
0.0000 0.0000 0.0000
0.0000 0.5000 0.0000
0.5000 0.0000 0.0000
```

- space group = P4/mmm
- density (g/cm3) = 7.18
- energy relative to the elements, uncorrected (meV/atom) = -395
- M_tot (μB/f.u.) = 0.000

=====

9.
Below is a geometry-optimized InRhPb2Br structure, with properties calculated at the PBE level.

```
InRhPb2Br
1.0
5.3148 0.0000 0.0000
0.0000 5.3148 0.0000
0.0000 0.0000 5.2546
In Rh Br Pb
1 1 1 2
Direct
0.0000 0.0000 0.5000
0.0000 0.0000 0.0000
0.5000 0.5000 0.5000
0.5000 0.0000 0.0000
0.0000 0.5000 0.0000
```

- space group = P4/mmm
- density (g/cm3) = 7.97
- energy relative to the elements, uncorrected (meV/atom) = -260
- M_tot (μB/f.u.) = 0.000

=====

10.
Below is a geometry-optimized InRuPb2Br structure, with properties calculated at the PBE level.

```
InRuPb2Br
1.0
-1.4366 2.0395 4.6294
3.2207 -3.3491 2.4748
3.9039 3.5076 -0.3338
Ru Pb Br In
1 2 1 1
Direct
0.0000 0.0000 0.0000
0.5000 0.0000 0.0000
0.0000 0.0000 0.5000
0.5000 0.5000 0.5000
0.0000 0.5000 0.0000
```

- space group = P4/mmm
- density (g/cm3) = 8.10
- energy relative to the elements, uncorrected (meV/atom) = -197
- M_tot (μB/f.u.) = 0.000

=====

11.
Below is a geometry-optimized InPbS2Br structure, with properties calculated at the PBE level.

```
InPbS2Br
1.0
5.6362 0.0000 0.0000
0.0000 7.2391 -0.1242
0.0000 -0.3396 8.1057
Br S Pb In
2 4 2 2
Direct
0.7500 0.4348 0.2417
0.2500 0.5652 0.7583
0.2500 0.0927 0.6020
0.2500 0.0521 0.1361
0.7500 0.9479 0.8639
0.7500 0.9073 0.3980
0.2500 0.7876 0.3781
0.7500 0.2124 0.6219
0.7500 0.0873 0.1486
0.2500 0.9127 0.8514
```

- space group = P2_1/m
- density (g/cm3) = 4.68
- energy relative to the elements, uncorrected (meV/atom) = -617
- M_tot (μB/f.u.) = 0.000

=====

12.
Below is a geometry-optimized InPbSBr structure, with properties calculated at the PBE level.

```
InPbSBr
1.0
5.2161 0.0000 0.0000
2.6081 4.5173 0.0000
2.6081 1.5058 11.9551
In Pb Br S
2 2 2 2
Direct
0.7133 0.7133 0.8601
0.2867 0.2867 0.1399
0.8728 0.8728 0.3817
0.1272 0.1272 0.6183
0.6027 0.6027 0.1920
0.3973 0.3973 0.8080
0.2028 0.2028 0.3915
0.7972 0.7972 0.6085
```

- space group = R-3m
- density (g/cm3) = 5.12
- energy relative to the elements, uncorrected (meV/atom) = -503
- M_tot (μB/f.u.) = 0.000

=====

13.
Below is a geometry-optimized InSbPbBr6 structure, with properties calculated at the PBE level.

```
InSbPbBr6
1.0
7.5851 0.0000 0.0000
-3.7926 6.5689 0.0000
0.0000 0.0000 14.2907
Sb Br Pb In
2 12 2 2
Direct
0.3333 0.6667 0.7500
0.6667 0.3333 0.2500
0.3488 0.3716 0.8674
0.3716 0.3488 0.3674
0.6284 0.9773 0.8674
0.6284 0.6512 0.6326
0.9773 0.6284 0.3674
0.6512 0.0227 0.3674
0.0227 0.3716 0.6326
0.9773 0.3488 0.1326
0.3488 0.9773 0.6326
0.0227 0.6512 0.8674
0.6512 0.6284 0.1326
0.3716 0.0227 0.1326
0.6667 0.3333 0.7500
0.3333 0.6667 0.2500
0.0000 0.0000 0.5000
0.0000 0.0000 0.0000
```

- space group = P-31c
- density (g/cm3) = 4.31
- energy relative to the elements, uncorrected (meV/atom) = -725
- M_tot (μB/f.u.) = 0.000

=====

14.
Below is a geometry-optimized ScInPb2Br8 structure, with properties calculated at the PBE level.

```
ScInPb2Br8
1.0
-6.2757 2.6278 2.1406
-2.4504 -0.3307 -6.2821
-2.9898 -8.4443 1.6048
Br Pb In Sc
8 2 1 1
Direct
0.8508 0.2300 0.2096
0.1488 0.7696 0.2098
0.3104 0.2279 0.0002
0.6375 0.7310 0.4999
0.3625 0.2690 0.5001
0.1492 0.7700 0.7904
0.6896 0.7721 0.9998
0.8512 0.2304 0.7902
0.5000 0.5001 0.2455
0.5000 0.4999 0.7545
0.0000 0.0000 0.5000
0.0000 0.0000 0.0000
```

- space group = P2/m
- density (g/cm3) = 4.60
- energy relative to the elements, uncorrected (meV/atom) = -1103
- M_tot (μB/f.u.) = 0.000

=====

15.
Below is a geometry-optimized ScInPbBr6 structure, with properties calculated at the PBE level.

```
ScInPbBr6
1.0
-3.8247 6.2384 1.4825
-7.1723 -0.4125 2.0327
1.9309 -0.4152 6.7289
Pb Br Sc In
1 6 1 1
Direct
0.6667 0.6667 0.5000
0.3453 0.0370 0.7249
0.0369 0.6177 0.7249
0.6176 0.3454 0.7249
0.3453 0.6177 0.2750
0.0369 0.3454 0.2750
0.6176 0.0370 0.2750
0.3333 0.3333 0.5000
0.0000 0.0000 0.0000
```

- space group = P312
- density (g/cm3) = 4.15
- energy relative to the elements, uncorrected (meV/atom) = -1215
- M_tot (μB/f.u.) = 0.000

=====

16.
Below is a geometry-optimized InPbSe2Br structure, with properties calculated at the PBE level.

```
InPbSe2Br
1.0
-4.1866 -4.2262 0.4539
0.2674 -1.0158 -6.9919
5.8975 -5.7633 0.7362
Br In Se Pb
2 2 4 2
Direct
0.7500 0.4371 0.2228
0.2500 0.5629 0.7772
0.2500 0.9158 0.8521
0.7500 0.0842 0.1479
0.7500 0.9306 0.8692
0.7500 0.8848 0.4198
0.2500 0.0694 0.1308
0.2500 0.1152 0.5802
0.2500 0.7794 0.3927
0.7500 0.2206 0.6073
```

- space group = P2_1/m
- density (g/cm3) = 5.33
- energy relative to the elements, uncorrected (meV/atom) = -598
- M_tot (μB/f.u.) = 0.000
- energy relative to the lowest polymorph listed for this composition (meV/atom) = 0.0

=====

17.
Below is a geometry-optimized InPbSe2Br structure, with properties calculated at the PBE level.

```
InPbSe2Br
1.0
-5.1001 -1.3152 0.9101
0.1044 -3.3089 -4.1963
1.5912 -3.9744 3.1735
Se In Pb Br
2 1 1 1
Direct
0.5000 0.0000 0.0000
0.0000 0.5000 0.0000
0.0000 0.0000 0.0000
0.5000 0.5000 0.5000
0.0000 0.0000 0.5000
```

- space group = P4/mmm
- density (g/cm3) = 6.11
- energy relative to the elements, uncorrected (meV/atom) = -202
- M_tot (μB/f.u.) = 0.000
- energy relative to the lowest polymorph listed for this composition (meV/atom) = 396.1

=====

18.
Below is a geometry-optimized InPbSeBr structure, with properties calculated at the PBE level.

```
InPbSeBr
1.0
-0.2075 -1.3092 4.1907
3.8850 0.9958 -1.7997
-2.0223 8.1256 0.1334
Se Br Pb In
1 1 1 1
Direct
0.1235 0.9598 0.0986
0.4884 0.1421 0.6460
0.3189 0.5575 0.8918
0.9470 0.3714 0.3332
```

- space group = R3m
- density (g/cm3) = 5.98
- energy relative to the elements, uncorrected (meV/atom) = -582
- M_tot (μB/f.u.) = 0.000

=====

19.
Below is a geometry-optimized SmInPb2Br8 structure, with properties calculated at the PBE level.

```
SmInPb2Br8
1.0
7.2816 0.0235 -0.0047
0.0715 6.9121 -0.0076
0.0062 0.0108 9.2663
Br Pb Sm In
8 2 1 1
Direct
0.3226 0.2441 0.0000
0.1572 0.7615 0.2225
0.1573 0.7616 0.7775
0.6774 0.7559 0.0000
0.6410 0.7290 0.5000
0.3590 0.2710 0.5000
0.8427 0.2384 0.2225
0.8428 0.2385 0.7775
0.5000 0.5000 0.2528
0.5000 0.5000 0.7472
0.0000 0.0000 0.0000
0.0000 0.0000 0.5000
```

- space group = P2/m
- density (g/cm3) = 4.70
- energy relative to the elements, uncorrected (meV/atom) = -1174
- M_tot (μB/f.u.) = 0.000

=====

20.
Below is a geometry-optimized In2SnPbBr6 structure, with properties calculated at the PBE level.

```
In2SnPbBr6
1.0
7.6506 0.0000 -0.0169
0.0000 8.3841 0.0000
0.0450 0.0000 11.3459
In Br Sn Pb
4 12 2 2
Direct
0.4669 0.4165 0.2486
0.5331 0.5835 0.7514
0.0331 0.9165 0.2514
0.9669 0.0835 0.7486
0.6733 0.3090 0.9393
0.3707 0.9598 0.7528
0.6788 0.3143 0.5606
0.1788 0.1857 0.0606
0.1293 0.4598 0.7472
0.6293 0.0402 0.2472
0.8267 0.8090 0.5607
0.3212 0.6857 0.4394
0.8707 0.5402 0.2528
0.1733 0.1910 0.4393
0.8212 0.8143 0.9394
0.3267 0.6910 0.0607
0.0000 0.5000 0.5000
0.5000 0.0000 0.0000
0.0000 0.5000 0.0000
0.5000 0.0000 0.5000
```

- space group = P2_1/c
- density (g/cm3) = 4.72
- energy relative to the elements, uncorrected (meV/atom) = -766
- M_tot (μB/f.u.) = 0.000

=====

21.
Below is a geometry-optimized SrIn2PbBr6 structure, with properties calculated at the PBE level.

```
SrIn2PbBr6
1.0
8.1354 0.0031 0.0009
4.0704 7.0439 0.0009
4.0692 2.3500 6.9596
Br Pb In Sr
6 1 2 1
Direct
0.9577 0.6003 0.2615
0.4579 0.6789 0.7609
0.6000 0.1808 0.2615
0.1020 0.4581 0.7611
0.6790 0.1016 0.7613
0.1807 0.9575 0.2613
0.3183 0.3182 0.0450
0.0240 0.0244 0.9278
0.5242 0.5239 0.4282
0.8177 0.8179 0.5465
```

- space group = R3
- density (g/cm3) = 4.18
- energy relative to the elements, uncorrected (meV/atom) = -1161
- M_tot (μB/f.u.) = 0.000

=====

22.
Below is a geometry-optimized TbInPbBr6 structure, with properties calculated at the PBE level.

```
TbInPbBr6
1.0
7.6335 0.0000 0.0000
-3.8168 6.6108 0.0000
0.0000 0.0000 14.1592
Br Pb Tb In
12 2 2 2
Direct
0.3746 0.3522 0.3663
0.6254 0.6478 0.6337
0.0224 0.3746 0.6337
0.3522 0.3746 0.8663
0.6478 0.0224 0.3663
0.6254 0.9776 0.8663
0.6478 0.6254 0.1337
0.9776 0.3522 0.1337
0.3522 0.9776 0.6337
0.9776 0.6254 0.3663
0.0224 0.6478 0.8663
0.3746 0.0224 0.1337
0.3333 0.6667 0.2500
0.6667 0.3333 0.7500
0.3333 0.6667 0.7500
0.6667 0.3333 0.2500
0.0000 0.0000 0.0000
0.0000 0.0000 0.5000
```

- space group = P-31c
- density (g/cm3) = 4.46
- energy relative to the elements, uncorrected (meV/atom) = -1300
- M_tot (μB/f.u.) = 0.000